No. 1
## NaPmSn4 (PBE)

Data for crystalline NaPmSn4 at its relaxed geometry.

Values from the calculation:
E_form (eV/atom): -0.28
Distance to the lowest polymorph of the same formula (meV/atom): 75.1

a b c (Å): 8.8020 8.8020 8.8020
angles (deg): 90.00 90.00 90.00
Closest atoms and distances in Å follow each position.
Space group F-43m (No. 216)
Inequivalent atoms, fractional coordinates:
Na 0.0000 0.0000 0.0000 x4  12 Sn 3.65, 4 Pm 3.81
Pm 0.2500 0.2500 0.2500 x4  12 Sn 3.65, 4 Na 3.81
Sn 0.1248 0.1248 0.6248 x16  6 Sn 3.11-3.12


No. 2
## BeTcIN2 (PBE)

Data for crystalline BeTcIN2 at its relaxed geometry.

Values from the calculation:
Distance to the lowest polymorph of the same formula (meV/atom): 863.6
Formation energy without anion corrections (meV per atom): 1777

a b c (Å): 3.7137 3.7137 5.0182
angles (deg): 90.00 90.00 90.00
Closest atoms and distances in Å follow each position.
Space group P4/mmm (No. 123)
Inequivalent atoms, fractional coordinates:
Be 0.0000 0.0000 0.0000 x1  4 N 1.86
Tc 0.5000 0.5000 0.5000 x1  4 I 2.63
I 0.0000 0.0000 0.5000 x1  2 Be 2.51, 4 Tc 2.63
N 0.0000 0.5000 0.0000 x2  2 Be 1.86


No. 3
## CdGaB (PBE)

Data for crystalline CdGaB at its relaxed geometry.

Values from the calculation:
E_form (eV/atom): 0.54

a b c (Å): 8.5603 3.8224 5.7997
angles (deg): 90.00 90.00 90.00
Closest atoms and distances in Å follow each position.
Space group Pnma (No. 62)
Inequivalent atoms, fractional coordinates:
Cd 0.1309 0.2500 0.0230 x4  4 B 2.50-2.64
Ga 0.1142 0.2500 0.5260 x4  3 B 2.20-2.34
B 0.1065 0.7500 0.7121 x4  3 Ga 2.20-2.34


No. 4
## YTeMo2 (PBE)

Data for crystalline YTeMo2 at its relaxed geometry.

Values from the calculation:
Formation energy without anion corrections (meV per atom): 284

a b c (Å): 4.0275 4.0275 10.0339
angles (deg): 90.00 90.00 90.00
Closest atoms and distances in Å follow each position.
Space group I4/mmm (No. 139)
Inequivalent atoms, fractional coordinates:
Y 0.0000 0.0000 0.0000 x2  4 Te 2.85
Te 0.0000 0.0000 0.5000 x2  4 Y 2.85
Mo 0.0000 0.5000 0.2500 x4  4 Mo 2.85


No. 5
## Ac2HfSnPd6 (PBE)

Data for crystalline Ac2HfSnPd6 at its relaxed geometry.

Values from the calculation:
E_form (eV/atom): -0.28

a b c (Å): 10.0811 10.0811 10.0811
angles (deg): 90.00 90.00 90.00
Closest atoms and distances in Å follow each position.
Space group Fm-3m (No. 225)
Inequivalent atoms, fractional coordinates:
Ac 0.2500 0.2500 0.2500 x8  12 Pd 3.56
Hf 0.0000 0.0000 0.0000 x4  6 Pd 2.49
Sn 0.0000 0.0000 0.5000 x4  6 Pd 2.55
Pd 0.0000 0.0000 0.2466 x24  1 Hf 2.49, 1 Sn 2.55


No. 6
## Mg2In2Pd5 (PBE)

Data for crystalline Mg2In2Pd5 at its relaxed geometry.

Values from the calculation:
E_form (eV/atom): -0.35

a b c (Å): 14.3129 7.0729 6.4984
angles (deg): 90.00 90.00 90.00
Closest atoms and distances in Å follow each position.
Space group Ima2 (No. 46)
Inequivalent atoms, fractional coordinates:
Mg 0.0888 0.0679 0.0000 x8  4 Pd 2.53-2.80, 1 Mg 2.72
In 0.0000 0.0000 0.5537 x4  6 Pd 2.67-2.78
In 0.2500 0.0149 0.6963 x4  6 Pd 2.69-2.99
Pd 0.0820 0.7400 0.7914 x8  2 In 2.67-2.68, 2 Mg 2.69-2.89, 2 Pd 2.88
Pd 0.1581 0.1332 0.3507 x8  2 Mg 2.53, 1 Pd 2.63, 2 In 2.73-2.78
Pd 0.2500 0.6466 0.5706 x4  2 In 2.69-2.73, 2 Mg 2.80, 4 Pd 2.88-2.99


Computed ρ (g/cm3) in order:
6.26; 6.28; 6.75; 8.33; 9.01; 8.18